[1]
Below is crystalline NdPuRu4 at its relaxed geometry, with properties calculated at the PBE level.

Cell: 7.596 7.596 7.596 Å, 90.00 90.00 90.00°
Space group F-43m (No. 216)
Asymmetric unit:
Nd (0.000, 0.000, 0.000) x4
Pu (0.250, 0.250, 0.250) x4
Ru (0.125, 0.125, 0.625) x16

Calculated values
N(E_F): 27.8 states/eV per cell
Calculated formation energy: -0.130 eV per atom
M_tot: 12.9 μB per cell
V: 18.258 A^3/atom

[2]
Below is crystalline NdPuRu at its relaxed geometry, with properties calculated at the PBE level.

Cell: 3.901 4.873 7.758 Å, 90.00 90.00 90.00°
Space group Pmmn (No. 59, origin choice 2)
Asymmetric unit:
Nd (0.250, 0.250, 0.136) x2
Pu (0.250, 0.750, 0.466) x2
Ru (0.250, 0.250, 0.757) x2

Calculated values
N(E_F): 11.9 states/eV per cell
Calculated formation energy: -0.104 eV per atom
Offset from the most stable computed form: 8 meV/atom
M_tot: 10.5 μB per cell
V: 24.577 A^3/atom

[3]
Below is crystalline Nd2Pu2Ru3 at its relaxed geometry, with properties calculated at the PBE level.

Cell: 3.848 5.543 7.608 Å, 87.87 75.77 69.97°
Space group P-1 (No. 2)
Asymmetric unit:
Nd (0.209, 0.208, 0.370) x2
Pu (0.161, 0.623, 0.056) x2
Ru (0.477, 0.356, 0.688) x2
Ru (0.500, 0.000, 0.000) x1

Calculated values
N(E_F): 9.9 states/eV per cell
Calculated formation energy: 0.043 eV per atom
M_tot: 0.0 μB per cell
V: 21.081 A^3/atom

[4]
Below is crystalline NdPu5Ru6 at its relaxed geometry, with properties calculated at the PBE level.

Cell: 4.556 6.952 7.811 Å, 90.00 106.81 90.00°
Space group P2/m (No. 10)
Asymmetric unit:
Nd (0.000, 0.000, 0.000) x1
Pu (0.000, 0.500, 0.000) x1
Pu (0.332, 0.000, 0.666) x2
Pu (0.333, 0.500, 0.667) x2
Ru (0.175, 0.248, 0.349) x4
Ru (0.500, 0.283, 0.000) x2

Calculated values
N(E_F): 32.2 states/eV per cell
Calculated formation energy: -0.092 eV per atom
M_tot: 12.9 μB per cell
V: 19.733 A^3/atom

[5]
Below is crystalline NdPuRu at its relaxed geometry, with properties calculated at the PBE level.

Cell: 3.405 4.324 5.334 Å, 90.00 90.00 90.00°
Space group Pmmm (No. 47)
Asymmetric unit:
Nd (0.000, 0.000, 0.000) x1
Pu (0.000, 0.500, 0.500) x1
Ru (0.500, 0.000, 0.500) x1

Calculated values
N(E_F): 6.8 states/eV per cell
Calculated formation energy: 0.028 eV per atom
Offset from the most stable computed form: 140 meV/atom
M_tot: 4.9 μB per cell
V: 26.177 A^3/atom

[6]
Below is crystalline NdPu2Ru at its relaxed geometry, with properties calculated at the PBE level.

Cell: 3.447 3.447 8.409 Å, 90.00 90.00 90.00°
Space group P4/mmm (No. 123)
Asymmetric unit:
Nd (0.000, 0.000, 0.000) x1
Pu (0.500, 0.500, 0.308) x2
Ru (0.000, 0.000, 0.500) x1

Calculated values
N(E_F): 12.0 states/eV per cell
Calculated formation energy: 0.022 eV per atom
Offset from the most stable computed form: 82 meV/atom
M_tot: 10.4 μB per cell
V: 24.982 A^3/atom

[7]
Below is crystalline Nd2PuRu2 at its relaxed geometry, with properties calculated at the PBE level.

Cell: 10.173 6.014 7.921 Å, 90.00 100.67 90.00°
Space group C2/c (No. 15)
Asymmetric unit:
Nd (0.151, 0.125, 0.151) x8
Pu (0.000, 0.382, 0.750) x4
Ru (0.130, 0.366, 0.510) x8

Calculated values
N(E_F): 29.4 states/eV per cell
Calculated formation energy: -0.266 eV per atom
M_tot: 17.8 μB per cell
V: 23.812 A^3/atom

[8]
Below is crystalline NdPu2Ru at its relaxed geometry, with properties calculated at the PBE level.

Cell: 14.571 9.406 6.028 Å, 90.00 90.00 90.00°
Space group Pnma (No. 62)
Asymmetric unit:
Nd (0.107, 0.250, 0.240) x4
Nd (0.144, 0.750, 0.964) x4
Pu (0.037, 0.059, 0.743) x8
Pu (0.213, 0.561, 0.449) x8
Ru (0.073, 0.750, 0.479) x4
Ru (0.176, 0.250, 0.732) x4

Calculated values
N(E_F): 102.3 states/eV per cell
Calculated formation energy: -0.060 eV per atom
Offset from the most stable computed form: 0 meV/atom
M_tot: 90.4 μB per cell
V: 25.819 A^3/atom